1.
A geometry-optimized TbTmSi3 structure. Source: Alexandria via LeMat-Bulk, functional PBE-GGA.

Unit cell a=3.9249 b=4.1068 c=12.3968 alpha=99.53 beta=90.00 gamma=90.00
Last column: nearest neighbours and their distance in Å.
Atoms (fractional coordinates):
Tb1 0.2500 0.0703 0.1406  12 Si 3.05-3.36
Tb2 0.7500 0.9297 0.8594  12 Si 3.05-3.36
Tm1 0.2500 0.7967 0.5935  7 Si 2.88-2.90
Tm2 0.7500 0.2033 0.4065  7 Si 2.88-2.90
Si1 0.2500 0.3798 0.7596  3 Si 2.32-2.43
Si2 0.7500 0.6202 0.2404  3 Si 2.32-2.43
Si3 0.2500 0.4747 0.9494  3 Si 2.32
Si4 0.7500 0.5253 0.0506  3 Si 2.32
Si5 0.7500 0.3210 0.6420  2 Si 2.43
Si6 0.2500 0.6790 0.3580  2 Si 2.43

Output
Final energy: -5.749 eV per atom
Formation energy from raw total energies: -0.675 eV/atom

2.
A geometry-optimized TbTm4Si4 structure. Source: Alexandria via LeMat-Bulk, functional PBE-GGA.

Unit cell a=5.6584 b=8.9862 c=8.9862 alpha=90.00 beta=90.00 gamma=90.00
Last column: nearest neighbours and their distance in Å.
Atoms (fractional coordinates):
Tb1 0.0000 0.0000 0.0000  4 Si 2.93
Tb2 0.5000 0.5000 0.5000  4 Si 2.93
Tm1 0.3781 0.3399 0.8991  5 Si 2.86-2.93
Tm2 0.8781 0.6009 0.8399  5 Si 2.86-2.93
Tm3 0.3781 0.6601 0.1009  5 Si 2.86-2.93
Tm4 0.1219 0.1601 0.6009  5 Si 2.86-2.93
Tm5 0.6219 0.8991 0.6601  5 Si 2.86-2.93
Tm6 0.1219 0.8399 0.3991  5 Si 2.86-2.93
Tm7 0.8781 0.3991 0.1601  5 Si 2.86-2.93
Tm8 0.6219 0.1009 0.3399  5 Si 2.86-2.93
Si1 0.6195 0.7826 0.3551  1 Si 2.47
Si2 0.6195 0.2174 0.6449  1 Si 2.47
Si3 0.1195 0.8551 0.7174  1 Si 2.47
Si4 0.8805 0.2826 0.8551  1 Si 2.47
Si5 0.8805 0.7174 0.1449  1 Si 2.47
Si6 0.3805 0.3551 0.2174  1 Si 2.47
Si7 0.3805 0.6449 0.7826  1 Si 2.47
Si8 0.1195 0.1449 0.2826  1 Si 2.47

Output
Final energy: -5.385 eV per atom
Formation energy from raw total energies: -0.473 eV/atom

Number 1: size of the total moment 0.00 μB per atom. Number 2: size of the total moment 0.00 μB per atom.